1.
SrAlOs4: relaxed, GGA-PBEsol.

The structure in CIF format:
```
data_SrAlOs4
_chemical_formula_sum 'Sr1 Al1 Os4'
_cell_length_a 5.2544
_cell_length_b 5.2544
_cell_length_c 5.2544
_cell_angle_alpha 60.00
_cell_angle_beta 60.00
_cell_angle_gamma 60.00
_space_group_name_H-M_alt 'P 1'
_space_group_IT_number 1
loop_
_space_group_symop_operation_xyz
'x,y,z'
loop_
_atom_site_label
_atom_site_fract_x
_atom_site_fract_y
_atom_site_fract_z
Os1 0.8773 0.3742 0.3742
Os2 0.3742 0.3742 0.8773
Os3 0.3742 0.8773 0.3742
Os4 0.3742 0.3742 0.3742
Sr1 0.7500 0.7500 0.7500
Al1 0.0000 0.0000 0.0000
```

Formation enthalpy at 0 K ... 518 meV/atom
DOS(E_F) ... 8.5 states/eV per cell
SG ... F-43m

---

2.
CaTiSN2: relaxed, GGA-PBEsol.

The structure in CIF format:
```
data_CaTiSN2
_chemical_formula_sum 'Ca1 Ti1 S1 N2'
_cell_length_a 3.9072
_cell_length_b 3.9072
_cell_length_c 4.9308
_cell_angle_alpha 90.00
_cell_angle_beta 90.00
_cell_angle_gamma 90.00
_space_group_name_H-M_alt 'P 1'
_space_group_IT_number 1
loop_
_space_group_symop_operation_xyz
'x,y,z'
loop_
_atom_site_label
_atom_site_fract_x
_atom_site_fract_y
_atom_site_fract_z
Ti1 0.0000 0.0000 0.0000
Ca1 0.5000 0.5000 0.5000
N1 0.5000 0.0000 0.0000
N2 0.0000 0.5000 0.0000
S1 0.0000 0.0000 0.5000
```

Final energy ... -35.712 eV for the cell shown
DOS(E_F) ... 3.8 states/eV per cell
SG ... P4/mmm

---

3.
LiSi2W: relaxed, GGA-PBEsol.

The structure in CIF format:
```
data_LiSi2W
_chemical_formula_sum 'Li1 Si2 W1'
_cell_length_a 3.2944
_cell_length_b 3.2944
_cell_length_c 5.0055
_cell_angle_alpha 90.00
_cell_angle_beta 90.00
_cell_angle_gamma 90.00
_space_group_name_H-M_alt 'P 1'
_space_group_IT_number 1
loop_
_space_group_symop_operation_xyz
'x,y,z'
loop_
_atom_site_label
_atom_site_fract_x
_atom_site_fract_y
_atom_site_fract_z
Li1 0.5000 0.5000 0.7630
Si1 0.0000 0.0000 0.9850
W1 0.0000 0.0000 0.4819
Si2 0.5000 0.5000 0.2701
```

E above lowest polymorph ... 53 meV per atom
DOS(E_F) ... 2.4 states/eV per cell
SG ... P4mm

---

4.
FePO4: relaxed, GGA-PBEsol.

The structure in CIF format:
```
data_FePO4
_chemical_formula_sum 'Fe3 P3 O12'
_cell_length_a 5.0997
_cell_length_b 5.0997
_cell_length_c 11.3032
_cell_angle_alpha 90.00
_cell_angle_beta 90.00
_cell_angle_gamma 120.00
_space_group_name_H-M_alt 'P 1'
_space_group_IT_number 1
loop_
_space_group_symop_operation_xyz
'x,y,z'
loop_
_atom_site_label
_atom_site_fract_x
_atom_site_fract_y
_atom_site_fract_z
O1 0.7403 0.1532 0.8770
Fe1 0.4601 0.0000 0.0000
P1 0.5396 0.5396 0.1667
O2 0.8947 0.5839 0.7301
Fe2 0.0000 0.4601 0.3333
O3 0.8468 0.5871 0.2103
O4 0.2597 0.4129 0.7897
Fe3 0.5399 0.5399 0.6667
P2 0.0000 0.4604 0.8333
O5 0.6892 0.1053 0.3968
O6 0.4161 0.3108 0.0634
O7 0.4129 0.2597 0.5437
O8 0.1053 0.6892 0.9366
O9 0.5871 0.8468 0.1230
O10 0.5839 0.8947 0.6032
O11 0.1532 0.7403 0.4563
O12 0.3108 0.4161 0.2699
P3 0.4604 0.0000 0.5000
```

Final energy ... -139.501 eV for the cell shown
SG ... P3_121

---

Copy entry 3 word for word.
LiSi2W: relaxed, GGA-PBEsol.

The structure in CIF format:
```
data_LiSi2W
_chemical_formula_sum 'Li1 Si2 W1'
_cell_length_a 3.2944
_cell_length_b 3.2944
_cell_length_c 5.0055
_cell_angle_alpha 90.00
_cell_angle_beta 90.00
_cell_angle_gamma 90.00
_space_group_name_H-M_alt 'P 1'
_space_group_IT_number 1
loop_
_space_group_symop_operation_xyz
'x,y,z'
loop_
_atom_site_label
_atom_site_fract_x
_atom_site_fract_y
_atom_site_fract_z
Li1 0.5000 0.5000 0.7630
Si1 0.0000 0.0000 0.9850
W1 0.0000 0.0000 0.4819
Si2 0.5000 0.5000 0.2701
```

E above lowest polymorph ... 53 meV per atom
DOS(E_F) ... 2.4 states/eV per cell
SG ... P4mm